TbCeErTc after structural relaxation. Source: Alexandria via LeMat-Bulk, functional GGA-PBE.

Computed properties:
density: 8.50 g/cm3
electronic total energy: -6.2632 eV per atom

extended XYZ file:
```
4
Lattice="4.462 -0.016 -0.007 -2.219 3.871 0.007 -2.226 -1.285 6.399" Properties=species:S:1:pos:R:3 pbc="T T T"
Tb 0.608 -0.354 2.948
Tc 2.840 0.928 0.548
Ce 0.611 2.225 0.808
Er 0.619 2.220 5.266
```